## AcNpCoO6 (PBE+U)

Data for crystalline AcNpCoO6 at its relaxed geometry.

Cell lengths 5.9660, 5.9660, 8.4083 Å; angles 90.00, 90.00, 120.00 degrees
With the nearest neighbours (Å) after each atom.
Fractional coordinates of all 18 atoms:
O (0.3001, 0.9370, 0.6200)  1 Np 2.04, 1 Co 2.24
O (0.6999, 0.0630, 0.3800)  1 Np 2.04, 1 Co 2.24
O (0.3631, 0.0630, 0.1200)  1 Np 2.04, 1 Co 2.24
O (0.9370, 0.3001, 0.1200)  1 Np 2.04, 1 Co 2.24
O (0.9370, 0.6369, 0.3800)  1 Np 2.04, 1 Co 2.24
O (0.3631, 0.3001, 0.3800)  1 Np 2.04, 1 Co 2.24
O (0.6369, 0.6999, 0.6200)  1 Np 2.04, 1 Co 2.24
O (0.6999, 0.6369, 0.1200)  1 Np 2.04, 1 Co 2.24
O (0.0630, 0.6999, 0.8800)  1 Np 2.04, 1 Co 2.24
O (0.0630, 0.3631, 0.6200)  1 Np 2.04, 1 Co 2.24
O (0.6369, 0.9370, 0.8800)  1 Np 2.04, 1 Co 2.24
O (0.3001, 0.3631, 0.8800)  1 Np 2.04, 1 Co 2.24
Co (0.0000, 0.0000, 0.0000)  6 O 2.24
Co (0.0000, 0.0000, 0.5000)  6 O 2.24
Ac (0.6667, 0.3333, 0.7500)  6 O 2.53
Ac (0.3333, 0.6667, 0.2500)  6 O 2.53
Np (0.3333, 0.6667, 0.7500)  6 O 2.04
Np (0.6667, 0.3333, 0.2500)  6 O 2.04

## Properties
* total moment: 5.87 μB/cell
* E_tot: -7.946 eV per atom